Record 1
A relaxed HfMg4Zr crystal, computed with PBE-GGA.

The crystal system is cubic. The energy of formation is 176 meV/atom. The space group is No. 216. The density of states at the Fermi level is 5.300 states/eV/cell.

Lattice parameters (Å, degrees): 5.702 5.702 5.702 60.00 60.00 60.00
Atoms (fractional coordinates):
Mg 0.625 0.625 0.125
Mg 0.625 0.125 0.625
Mg 0.625 0.625 0.625
Mg 0.125 0.625 0.625
Hf 0.250 0.250 0.250
Zr 0.000 0.000 0.000



Record 2
A relaxed Hf2Mg3Zr7 crystal, computed with PBE-GGA.

The crystal system is monoclinic. The energy of formation is 167 meV/atom. The space group is No. 10. The density of states at the Fermi level is 11.193 states/eV/cell.

Lattice parameters (Å, degrees): 3.126 5.221 16.888 93.05 90.00 90.00
Atoms (fractional coordinates):
Hf 0.500 0.710 0.292
Hf 0.500 0.290 0.708
Mg 0.500 0.500 0.000
Mg 0.000 0.224 0.371
Mg 0.000 0.776 0.629
Zr 0.500 0.744 0.461
Zr 0.500 0.256 0.539
Zr 0.000 0.683 0.143
Zr 0.000 0.000 0.000
Zr 0.000 0.317 0.857
Zr 0.500 0.810 0.817
Zr 0.500 0.190 0.183



Record 3
A relaxed Hf4MgZr5 crystal, computed with PBE-GGA.

The crystal system is tetragonal. The energy of formation is 34 meV/atom. The space group is No. 123. The density of states at the Fermi level is 13.968 states/eV/cell.

Lattice parameters (Å, degrees): 3.180 3.180 22.672 90.00 90.00 90.00
Atoms (fractional coordinates):
Hf 0.000 0.000 0.201
Hf 0.000 0.000 0.401
Hf 0.000 0.000 0.599
Hf 0.000 0.000 0.799
Mg 0.000 0.000 0.000
Zr 0.500 0.500 0.105
Zr 0.500 0.500 0.301
Zr 0.500 0.500 0.500
Zr 0.500 0.500 0.699
Zr 0.500 0.500 0.895



Record 4
A relaxed Hf2Mg2Zr7 crystal, computed with PBE-GGA.

The crystal system is orthorhombic. The energy of formation is 185 meV/atom. The space group is No. 44. The density of states at the Fermi level is 15.668 states/eV/cell.

Lattice parameters (Å, degrees): 3.228 10.447 9.451 123.56 99.83 90.00
Atoms (fractional coordinates):
Hf 0.380 0.001 0.759
Hf 0.620 0.241 0.241
Mg 0.000 0.629 0.000
Mg 0.500 0.375 0.000
Zr 0.166 0.039 0.331
Zr 0.168 0.534 0.337
Zr 0.500 0.893 0.000
Zr 0.302 0.421 0.605
Zr 0.698 0.817 0.395
Zr 0.834 0.707 0.669
Zr 0.832 0.197 0.663



Record 5
A relaxed HfMgZr crystal, computed with PBE-GGA.

The crystal system is trigonal. The energy of formation is 45 meV/atom. The space group is No. 156. The density of states at the Fermi level is 2.277 states/eV/cell. As for the energy above the most stable polymorph in this dataset: 54 meV per atom.

Lattice parameters (Å, degrees): 3.221 3.221 7.752 90.00 90.00 120.00
Atoms (fractional coordinates):
Mg 0.000 0.000 0.002
Hf 0.667 0.333 0.343
Zr 0.333 0.667 0.655



Record 6
A relaxed Hf2MgZr4 crystal, computed with PBE-GGA.

The crystal system is orthorhombic. The energy of formation is 101 meV/atom. The space group is No. 65. The density of states at the Fermi level is 6.913 states/eV/cell.

Lattice parameters (Å, degrees): 3.121 3.121 16.790 90.00 95.33 90.00
Atoms (fractional coordinates):
Hf 0.793 0.500 0.585
Hf 0.207 0.500 0.415
Mg 0.500 0.000 0.000
Zr 0.928 0.500 0.856
Zr 0.641 0.000 0.283
Zr 0.072 0.500 0.144
Zr 0.359 0.000 0.717



Record 7
A relaxed Hf2MgZr crystal, computed with PBE-GGA.

The crystal system is trigonal. The energy of formation is 86 meV/atom. The space group is No. 160. The density of states at the Fermi level is 3.782 states/eV/cell.

Lattice parameters (Å, degrees): 3.181 3.181 10.581 81.35 81.35 60.00
Atoms (fractional coordinates):
Hf 0.081 0.081 0.757
Hf 0.252 0.252 0.243
Mg 0.500 0.500 0.499
Zr 0.667 0.667 0.000



Record 8
A relaxed Hf6MgZr8 crystal, computed with PBE-GGA.

The crystal system is trigonal. The energy of formation is 175 meV/atom. The space group is No. 147. The density of states at the Fermi level is 20.209 states/eV/cell.

Lattice parameters (Å, degrees): 5.749 8.348 8.348 120.00 90.00 90.00
Atoms (fractional coordinates):
Hf 0.676 0.646 0.097
Hf 0.676 0.903 0.549
Hf 0.676 0.451 0.354
Hf 0.324 0.354 0.903
Hf 0.324 0.097 0.451
Hf 0.324 0.549 0.646
Mg 0.500 0.000 0.000
Zr 0.823 0.038 0.280
Zr 0.823 0.720 0.758
Zr 0.823 0.242 0.962
Zr 0.177 0.962 0.720
Zr 0.177 0.280 0.242
Zr 0.177 0.758 0.038
Zr 0.871 0.333 0.667
Zr 0.129 0.667 0.333